DFT (GGA-PBE) results for Mg2CdNO after structural relaxation.

Lattice parameters (Å, degrees): 3.9670 3.9670 4.7561 90.00 90.00 90.00
Space group P4/mmm (No. 123)
One atom of each set of equivalent atoms:
Mg  0.0000  0.5000  0.0000 (multiplicity 2)
Cd  0.0000  0.0000  0.5000 (multiplicity 1)
N  0.5000  0.5000  0.5000 (multiplicity 1)
O  0.0000  0.0000  0.0000 (multiplicity 1)

## Properties
Formation energy without anion corrections (eV per atom): -0.198